Entry 1:
The following is a DFT calculation (GGA-PBE) of a relaxed structure of KTlAs2.

Output
Volume (A^3/atom): 33.56
Uncorrected energy (eV per atom): -3.39
Distance to the lowest polymorph of the same formula (meV per atom): 43

Cell: 11.772 3.718 6.688 Å, 90.00 113.47 90.00°
Fractional positions:
1 K 0.000 0.000 0.000
2 K 0.500 0.500 0.000
3 Tl 0.000 0.500 0.500
4 Tl 0.500 0.000 0.500
5 As 0.242 0.500 0.371
6 As 0.258 0.000 0.629
7 As 0.742 0.000 0.371
8 As 0.758 0.500 0.629

=====

Entry 2:
The following is a DFT calculation (GGA-PBE) of a relaxed structure of Cd2SnAu3.

Output
Volume (A^3/atom): 23.17
Uncorrected energy (eV per atom): -2.70
Distance to the lowest polymorph of the same formula (meV per atom): 22

Cell: 6.862 6.862 8.356 Å, 107.51 107.51 48.48°
Fractional positions:
1 Cd 0.167 0.169 0.084
2 Cd 0.169 0.167 0.584
3 Cd 0.831 0.833 0.416
4 Cd 0.833 0.831 0.916
5 Sn 0.495 0.505 0.250
6 Sn 0.505 0.495 0.750
7 Au 0.005 0.995 0.750
8 Au 0.334 0.336 0.418
9 Au 0.336 0.334 0.918
10 Au 0.664 0.666 0.082
11 Au 0.666 0.664 0.582
12 Au 0.995 0.005 0.250

=====

no.,ΔH_f (0 K) (eV per atom)
1,-0.1968
2,-0.0847